(w)
ZnRu3S, optimized geometry, DFT PBE-GGA; magnetization = 0.00 Bohr magnetons per cell; N(E_F) = 4.73 states/eV/f.u.; space group = Pm-3m (221)
1.0
4.312 0.000 0.000
0.000 4.312 0.000
0.000 0.000 4.312
Zn Ru S
1 3 1
Direct
0.000 0.000 0.000
0.000 0.500 0.500
0.500 0.000 0.500
0.500 0.500 0.000
0.500 0.500 0.500

(x)
ZnRu3S, optimized geometry, DFT PBE-GGA; magnetization = 0.00 Bohr magnetons per cell; N(E_F) = 9.38 states/eV/f.u.; space group = Pm-3m (221)
1.0
4.514 0.000 0.000
0.000 4.514 0.000
0.000 0.000 4.514
Zn Ru S
1 3 1
Direct
0.000 0.000 0.000
0.000 0.000 0.500
0.000 0.500 0.000
0.500 0.000 0.000
0.500 0.500 0.500

Most stable to least stable: (w), (x)